Record 1
! CsTbPa GGA-PBE relaxed; values from VASP
! Raw total energy, eV per atom: -3.13
&SYSTEM
  ibrav = 0, nat = 3, ntyp = 3
/
ATOMIC_SPECIES
Cs 132.91 Cs.upf
Pa 231.04 Pa.upf
Tb 158.93 Tb.upf
CELL_PARAMETERS angstrom
3.812 -4.120 -1.295
0.976 -4.292 3.716
-1.820 -5.329 -1.212
ATOMIC_POSITIONS angstrom
Cs 0.742 -3.435 0.302
Pa 0.000 0.000 0.000
Tb 2.226 -10.306 0.907

Record 2
! Sr2Co GGA-PBE relaxed; values from VASP
! Raw total energy, eV per atom: -2.06
&SYSTEM
  ibrav = 0, nat = 6, ntyp = 2
/
ATOMIC_SPECIES
Co 58.93 Co.upf
Sr 87.62 Sr.upf
CELL_PARAMETERS angstrom
0.000 4.534 4.534
4.534 0.000 4.534
4.534 4.534 0.000
ATOMIC_POSITIONS angstrom
Co 0.000 0.000 0.000
Co 2.267 2.267 2.267
Sr 3.400 3.400 5.667
Sr 3.400 5.667 3.400
Sr 5.667 3.400 3.400
Sr 5.667 5.667 5.667

Record 3
! CsScPa GGA-PBE relaxed; values from VASP
! Raw total energy, eV per atom: -3.74
&SYSTEM
  ibrav = 0, nat = 3, ntyp = 3
/
ATOMIC_SPECIES
Cs 132.91 Cs.upf
Pa 231.04 Pa.upf
Sc 44.96 Sc.upf
CELL_PARAMETERS angstrom
2.287 0.680 5.040
-3.110 -0.647 4.583
0.804 -4.411 3.315
ATOMIC_POSITIONS angstrom
Cs -0.005 -1.095 3.234
Pa -0.014 -3.284 9.703
Sc 0.000 0.000 0.000

Record 4
! Li2HfSn2 GGA-PBE relaxed; values from VASP
! Raw total energy, eV per atom: -4.53
&SYSTEM
  ibrav = 0, nat = 5, ntyp = 3
/
ATOMIC_SPECIES
Hf 178.49 Hf.upf
Li 6.94 Li.upf
Sn 118.71 Sn.upf
CELL_PARAMETERS angstrom
-1.970 1.970 6.421
1.970 -1.970 6.421
1.970 1.970 -6.421
ATOMIC_POSITIONS angstrom
Hf 0.000 0.000 0.000
Li 0.000 1.970 3.210
Li 1.970 0.000 3.210
Sn 0.000 0.000 5.033
Sn 0.000 0.000 7.809

- What is the formula in the second record?
  Sr2Co

- Which value of raw total energy does entry 1 give?
  -3.13 eV per atom